Entry 1:
The following is a DFT calculation (PBE) of a relaxed LaNpTl2S4 crystal.

Calculated values
The calculation puts the formation energy from raw total energies at -1.2586 eV per atom.

Cell: 7.2631 4.1767 7.8475 Å, 90.00 107.93 90.00°
Atoms (fractional coordinates):
La 0.0000 0.0000 0.0000
Np 0.5000 0.5000 0.0000
Tl 0.0000 0.5000 0.5000
Tl 0.5000 0.0000 0.5000
S 0.2439 0.5000 0.2031
S 0.2794 0.0000 0.8033
S 0.7206 0.0000 0.1967
S 0.7561 0.5000 0.7969

=====

Entry 2:
The following is a DFT calculation (PBE) of a relaxed LaNp2Tl3S6 crystal.

Calculated values
The calculation puts the formation energy from raw total energies at -1.1795 eV per atom.

Cell: 7.1645 7.1645 7.8537 Å, 98.73 98.73 119.96°
Atoms (fractional coordinates):
La 0.0000 0.0000 0.0000
Np 0.3332 0.6668 0.0000
Np 0.6668 0.3332 0.0000
Tl 0.1661 0.8339 0.5000
Tl 0.5000 0.5000 0.5000
Tl 0.8339 0.1661 0.5000
S 0.0662 0.4140 0.1984
S 0.2825 0.2825 0.8044
S 0.4140 0.0662 0.1984
S 0.5860 0.9338 0.8016
S 0.7175 0.7175 0.1956
S 0.9338 0.5860 0.8016

=====

Entry 3:
The following is a DFT calculation (PBE) of a relaxed La3NpTl3S8 crystal.

Calculated values
The calculation puts the formation energy from raw total energies at -1.4716 eV per atom.

Cell: 8.9317 8.9317 8.9317 Å, 56.58 56.58 56.58°
Atoms (fractional coordinates):
La 0.0000 0.5000 0.5000
La 0.5000 0.0000 0.5000
La 0.5000 0.5000 0.0000
Np 0.0000 0.0000 0.0000
Tl 0.0000 0.0000 0.5000
Tl 0.0000 0.5000 0.0000
Tl 0.5000 0.0000 0.0000
S 0.2213 0.2213 0.7515
S 0.2213 0.7515 0.2213
S 0.2485 0.7787 0.7787
S 0.2653 0.2653 0.2653
S 0.7347 0.7347 0.7347
S 0.7515 0.2213 0.2213
S 0.7787 0.2485 0.7787
S 0.7787 0.7787 0.2485

=====

Entry 4:
The following is a DFT calculation (PBE) of a relaxed LaNpSb2 crystal.

Calculated values
The calculation puts the formation energy from raw total energies at -0.5745 eV per atom.

Cell: 5.8289 5.8289 3.3294 Å, 90.00 90.00 90.00°
Atoms (fractional coordinates):
La 0.0000 0.0000 0.0000
Np 0.5000 0.5000 0.0000
Sb 0.0000 0.5000 0.5000
Sb 0.5000 0.0000 0.5000

=====

Entry 5:
The following is a DFT calculation (PBE) of a relaxed La4NpSb5 crystal.

Calculated values
The calculation puts the formation energy from raw total energies at -1.0428 eV per atom.

Cell: 16.5183 16.5183 16.5183 Å, 164.03 164.03 22.65°
Atoms (fractional coordinates):
La 0.0996 0.0996 0.0000
La 0.3007 0.3007 0.0000
La 0.6993 0.6993 0.0000
La 0.9004 0.9004 0.0000
Np 0.5000 0.5000 0.0000
Sb 0.0000 0.0000 0.0000
Sb 0.1998 0.1998 0.0000
Sb 0.4029 0.4029 0.0000
Sb 0.5971 0.5971 0.0000
Sb 0.8002 0.8002 0.0000

=====

Entry 6:
The following is a DFT calculation (PBE) of a relaxed LaNpSb2 crystal.

Calculated values
The calculation puts the formation energy from raw total energies at -0.7155 eV per atom.

Cell: 7.8562 7.8562 7.8562 Å, 33.29 33.29 33.29°
Atoms (fractional coordinates):
La 0.0000 0.0000 0.0000
Np 0.5000 0.5000 0.5000
Sb 0.2453 0.2453 0.2453
Sb 0.7547 0.7547 0.7547

=====

Entry 7:
The following is a DFT calculation (PBE) of a relaxed LaNpSe3 crystal.

Calculated values
The calculation puts the formation energy from raw total energies at -1.5985 eV per atom.

Cell: 7.8038 4.2283 16.1917 Å, 90.00 90.00 90.00°
Atoms (fractional coordinates):
La 0.1316 0.2500 0.2030
La 0.3684 0.7500 0.7030
La 0.6316 0.2500 0.2970
La 0.8684 0.7500 0.7970
Np 0.2328 0.7500 0.4602
Np 0.2672 0.2500 0.9602
Np 0.7328 0.7500 0.0398
Np 0.7672 0.2500 0.5398
Se 0.0106 0.2500 0.3965
Se 0.1268 0.7500 0.0635
Se 0.1557 0.2500 0.7838
Se 0.3443 0.7500 0.2838
Se 0.3732 0.2500 0.5635
Se 0.4894 0.7500 0.8965
Se 0.5106 0.2500 0.1035
Se 0.6268 0.7500 0.4365
Se 0.6557 0.2500 0.7162
Se 0.8443 0.7500 0.2162
Se 0.8732 0.2500 0.9365
Se 0.9894 0.7500 0.6035

=====

Entry 8:
The following is a DFT calculation (PBE) of a relaxed La2NpSe5 crystal.

Calculated values
The calculation puts the formation energy from raw total energies at -1.6731 eV per atom.

Cell: 8.0910 12.4564 4.3019 Å, 90.00 90.00 90.00°
Atoms (fractional coordinates):
La 0.0424 0.1731 0.0000
La 0.4576 0.6731 0.0000
La 0.5424 0.3269 0.0000
La 0.9576 0.8269 0.0000
Np 0.0000 0.5000 0.5000
Np 0.5000 0.0000 0.5000
Se 0.0000 0.0000 0.5000
Se 0.1677 0.7021 0.5000
Se 0.1747 0.4095 0.0000
Se 0.3253 0.9095 0.0000
Se 0.3323 0.2021 0.5000
Se 0.5000 0.5000 0.5000
Se 0.6677 0.7979 0.5000
Se 0.6747 0.0905 0.0000
Se 0.8253 0.5905 0.0000
Se 0.8323 0.2979 0.5000

=====

Entry 9:
The following is a DFT calculation (PBE) of a relaxed LaNpSe3 crystal.

Calculated values
The calculation puts the formation energy from raw total energies at -1.5649 eV per atom.

Cell: 4.2197 6.9430 9.2255 Å, 90.00 90.00 90.00°
Atoms (fractional coordinates):
La 0.2500 0.2500 0.1493
La 0.7500 0.7500 0.8507
Np 0.2500 0.7500 0.4024
Np 0.7500 0.2500 0.5976
Se 0.2500 0.5175 0.6683
Se 0.2500 0.7500 0.0748
Se 0.2500 0.9825 0.6683
Se 0.7500 0.0175 0.3317
Se 0.7500 0.2500 0.9252
Se 0.7500 0.4825 0.3317

=====

Entry 10:
The following is a DFT calculation (PBE) of a relaxed LaNpTl2Se4 crystal.

Calculated values
The calculation puts the formation energy from raw total energies at -1.1657 eV per atom.

Cell: 7.5128 4.3371 8.1168 Å, 90.00 108.01 90.00°
Atoms (fractional coordinates):
La 0.0000 0.0000 0.0000
Np 0.5000 0.5000 0.0000
Tl 0.0000 0.5000 0.5000
Tl 0.5000 0.0000 0.5000
Se 0.2448 0.5000 0.2108
Se 0.2745 0.0000 0.7946
Se 0.7255 0.0000 0.2054
Se 0.7552 0.5000 0.7892

=====

Entry 11:
The following is a DFT calculation (PBE) of a relaxed La3NpTl4Se8 crystal.

Calculated values
The calculation puts the formation energy from raw total energies at -1.3076 eV per atom.

Cell: 9.2176 9.2176 9.2176 Å, 56.81 56.81 56.81°
Atoms (fractional coordinates):
La 0.0000 0.5000 0.5000
La 0.5000 0.0000 0.5000
La 0.5000 0.5000 0.0000
Np 0.0000 0.0000 0.0000
Tl 0.0000 0.0000 0.5000
Tl 0.0000 0.5000 0.0000
Tl 0.5000 0.0000 0.0000
Tl 0.5000 0.5000 0.5000
Se 0.2322 0.2322 0.7446
Se 0.2322 0.7446 0.2322
Se 0.2554 0.7678 0.7678
Se 0.2625 0.2625 0.2625
Se 0.7375 0.7375 0.7375
Se 0.7446 0.2322 0.2322
Se 0.7678 0.2554 0.7678
Se 0.7678 0.7678 0.2554

=====

Entry 12:
The following is a DFT calculation (PBE) of a relaxed LaNp2Si6 crystal.

Calculated values
The calculation puts the formation energy from raw total energies at -0.3547 eV per atom.

Cell: 7.0716 7.0716 4.0012 Å, 90.00 90.00 120.00°
Atoms (fractional coordinates):
La 0.0000 0.0000 0.0000
Np 0.3333 0.6667 0.0000
Np 0.6667 0.3333 0.0000
Si 0.0000 0.3374 0.5000
Si 0.0000 0.6626 0.5000
Si 0.3374 0.0000 0.5000
Si 0.3374 0.3374 0.5000
Si 0.6626 0.0000 0.5000
Si 0.6626 0.6626 0.5000

=====

Record-wise DOS(E_F) values, in states/eV/atom: 1.00, 1.78, 0.25, 2.89, 1.09, 3.27, 2.24, 0.72, 2.18, 1.20, 0.62, 2.00
Record-wise calculated volume values, in Å³/atom: 28.31, 27.73, 30.94, 28.28, 34.10, 32.51, 26.71, 27.10, 27.03, 31.44, 32.06, 19.25
Record-wise size of the total moment values, in μB per formula unit: 4.000, 8.000, 3.000, 4.646, 3.863, 3.925, 3.969, 2.999, 3.986, 4.000, 4.000, 7.707